# Al2GaNi2 PBE optimized geometry
data_Al2GaNi2
_chemical_formula_sum 'Al4 Ga2 Ni4'
_cell_length_a 7.158
_cell_length_b 7.158
_cell_length_c 2.681
_cell_angle_alpha 90.00
_cell_angle_beta 90.00
_cell_angle_gamma 90.00
_symmetry_space_group_name_H-M 'P 4/m b m'
_symmetry_Int_Tables_number 127
_symmetry_space_group_name_Hall '-P 4 2ab'
loop_
_atom_site_label
_atom_site_fract_x
_atom_site_fract_y
_atom_site_fract_z
Al1 0.139 0.361 0.000
Ga1 0.000 0.000 0.000
Ni1 0.154 0.654 0.500
# energy	-4.729	eV/atom
# ΔH_f (0 K)	-0.3140	eV/atom
# D(E_F)	0.33	states/eV per atom
# M_tot	0.000	Bohr magnetons per cell
# calculated density	5.8	g cm⁻³